[1]
PaAlOs2 | PBE | relaxed Values from VASP.

Output
- DOS at the Fermi energy (states/eV per atom) = 0.092
- polymorph energy (0 for the lowest one) (kJ/mol of atoms) = 0.0
- symmetry = P4/mmm, No. 123
- energy of formation from the pure elements (eV/atom) = -0.393

The structure in Quantum ESPRESSO input format:
```
&SYSTEM
  ibrav = 0, nat = 4, ntyp = 3
/
ATOMIC_SPECIES
Os 190.23 Os.upf
Pa 231.04 Pa.upf
Al 26.98 Al.upf
ATOMIC_POSITIONS angstrom
Os -0.775 -1.692 1.143
Os -1.726 1.196 0.602
Pa -3.407 -1.069 0.282
Al -0.907 -0.573 -1.462
CELL_PARAMETERS angstrom
-1.813 -1.146 -2.925
-1.549 -3.385 2.286
-3.452 2.392 1.203
```

=====

[2]
TlNiAs | PBE | relaxed Values from VASP.

Output
- DOS at the Fermi energy (states/eV per atom) = 0.411
- polymorph energy (0 for the lowest one) (kJ/mol of atoms) = 28.9
- symmetry = F-43m, No. 216
- energy of formation from the pure elements (eV/atom) = 0.124

The structure in Quantum ESPRESSO input format:
```
&SYSTEM
  ibrav = 0, nat = 3, ntyp = 3
/
ATOMIC_SPECIES
As 74.92 As.upf
Tl 204.38 Tl.upf
Ni 58.69 Ni.upf
ATOMIC_POSITIONS angstrom
As 4.366 2.521 1.782
Tl 0.000 0.000 0.000
Ni 2.183 1.260 0.891
CELL_PARAMETERS angstrom
4.366 0.000 0.000
2.183 3.781 0.000
2.183 1.260 3.565
```